Li2FeO2F: optimized geometry, GGA+U.

The density is 3.6 Mg/m³. Its polymorph energy (0 for the lowest one) is 0 meV/atom.

It has space group P-3m1 (No. 164), with a = 2.9664 Å, b = 2.9664 Å, c = 14.4915 Å, α = 90.00°, β = 90.00° and γ = 120.00°. The distinct sites, in fractional coordinates, are Li at (0.0000, 0.0000, 0.0000), Li at (0.0000, 0.0000, 0.5000), Li at (0.3333, 0.6667, 0.3396), Fe at (0.3333, 0.6667, 0.8304), O at (0.0000, 0.0000, 0.2475), O at (0.3333, 0.6667, 0.0918) and F at (0.3333, 0.6667, 0.5804).